Material: VRhAu2Br
Method: DFT, PBE
State: relaxed

## Properties
Formation energy from raw total energies in eV/atom: 1.177
D(E_F) in states/eV/atom: 2.535
Final energy in eV per formula unit: -18.81

Lattice parameters (Å, degrees): 5.1118 5.1118 4.6964 90.00 90.00 90.00
Last column: nearest neighbours and their distance in Å.
Atoms (fractional coordinates):
1 V 0.0000 0.0000 0.0000  8 Au 3.47, 4 Br 3.61
2 Rh 0.5000 0.5000 0.5000  2 Br 2.35, 4 Au 2.56
3 Au 0.0000 0.5000 0.5000  2 Rh 2.56
4 Au 0.5000 0.0000 0.5000  2 Rh 2.56
5 Br 0.5000 0.5000 0.0000  2 Rh 2.35

Material: AgBiPb
Method: DFT, PBE
State: relaxed

## Properties
D(E_F) in states/eV/atom: 0.365
Final energy in eV per formula unit: -10.25
Energy relative to the lowest polymorph listed for this composition in eV/atom: 0.027

Lattice parameters (Å, degrees): 7.0422 7.0422 7.0422 151.22 151.22 41.16
Last column: nearest neighbours and their distance in Å.
Atoms (fractional coordinates):
1 Ag 0.0000 0.0000 0.0000  4 Bi 3.14, 4 Pb 3.15, 4 Ag 3.50
2 Bi 0.6463 0.6463 0.0000  4 Ag 3.14, 4 Bi 3.50
3 Pb 0.3518 0.3518 0.0000  4 Ag 3.15, 4 Pb 3.50

Material: Rb2YSe
Method: DFT, PBE
State: relaxed

## Properties
Formation energy from raw total energies in eV/atom: -0.401
D(E_F) in states/eV/atom: 1.033
Final energy in eV per formula unit: -13.49

Lattice parameters (Å, degrees): 9.6496 9.6496 9.6496 94.56 94.56 147.24
Last column: nearest neighbours and their distance in Å.
Atoms (fractional coordinates):
1 Rb 0.3750 0.2302 0.3552  2 Se 3.62
2 Rb 0.7698 0.1250 0.1448  2 Se 3.62
3 Rb 0.8750 0.0198 0.6448  2 Se 3.62
4 Rb 0.9802 0.6250 0.8552  2 Se 3.62
5 Y 0.2500 0.7500 0.5000  2 Se 2.72
6 Y 0.5000 0.5000 0.0000  2 Se 2.72
7 Se 0.0000 0.0000 0.0000  2 Y 2.72
8 Se 0.7500 0.2500 0.5000  2 Y 2.72

Material: TlZnInI4
Method: DFT, PBE
State: relaxed

## Properties
Formation energy from raw total energies in eV/atom: -0.569
D(E_F) in states/eV/atom: 0.000
Final energy in eV per formula unit: -16.56

Lattice parameters (Å, degrees): 7.9428 8.1306 9.4914 90.00 107.76 90.00
Last column: nearest neighbours and their distance in Å.
Atoms (fractional coordinates):
1 Tl 0.2332 0.2500 0.0573  6 I 3.45-3.71
2 Tl 0.7668 0.7500 0.9427  6 I 3.45-3.71
3 Zn 0.2277 0.7500 0.7990  4 I 2.63-2.66
4 Zn 0.7723 0.2500 0.2010  4 I 2.63-2.66
5 In 0.2411 0.2500 0.5632  6 I 3.50-3.66
6 In 0.7589 0.7500 0.4368  6 I 3.50-3.66
7 I 0.0034 0.0023 0.7367  1 Zn 2.66
8 I 0.0034 0.4977 0.7367  1 Zn 2.66
9 I 0.4083 0.7500 0.0815  1 Zn 2.63
10 I 0.4202 0.7500 0.6179  1 Zn 2.63
11 I 0.5798 0.2500 0.3821  1 Zn 2.63
12 I 0.5917 0.2500 0.9185  1 Zn 2.63
13 I 0.9966 0.5023 0.2633  1 Zn 2.66
14 I 0.9966 0.9977 0.2633  1 Zn 2.66